A plane-wave DFT calculation with PBE was carried out for a geometry-optimized CaRePbSe2 structure.

formation energy from raw total energies = 0.985 eV per atom
space group = P4/mmm (123)
magnetization = 4.75 μB per formula unit
Fermi-level density of states = 3.444 states/eV/cell

Cell: 5.3887 5.5356 5.3887 Å, 90.00 90.00 90.00°
Last column: magnetic moment on the atom in μB.
Fractional coordinates of all 5 atoms:
Ca1 0.0000 0.0000 0.0000  0.02
Pb1 0.5000 0.5000 0.5000  -0.08
Re1 0.0000 0.5000 0.0000  3.51
Se1 0.5000 0.0000 0.0000  0.19
Se2 0.0000 0.0000 0.5000  0.21

---

A plane-wave DFT calculation with PBE was carried out for a geometry-optimized Ca2TiRePb structure.

energy of formation = 805 meV/atom
space group = P4/mmm (123)
magnetization = 0.00 μB per formula unit
Fermi-level density of states = 3.869 states/eV/cell
offset from the most stable computed form = 0.000 eV per atom

Cell: 5.8052 4.4103 5.8052 Å, 90.00 90.00 90.00°
Fractional coordinates of all 5 atoms:
Ti1 0.0000 0.0000 0.0000
Pb1 0.5000 0.5000 0.5000
Ca1 0.0000 0.0000 0.5000
Ca2 0.5000 0.0000 0.0000
Re1 0.0000 0.5000 0.0000

---

A plane-wave DFT calculation with PBE was carried out for a geometry-optimized Ca2TiRePb structure.

energy of formation = 1753 meV/atom
space group = P4/mmm (123)
magnetization = 0.10 μB per formula unit
Fermi-level density of states = 10.219 states/eV/cell
offset from the most stable computed form = 0.948 eV per atom

Cell: 5.2706 5.2052 5.2706 Å, 90.00 90.00 90.00°
Last column: magnetic moment on the atom in μB.
Fractional coordinates of all 5 atoms:
Ca1 0.5000 0.0000 0.0000  0.00
Ca2 0.0000 0.0000 0.5000  0.00
Ti1 0.0000 0.0000 0.0000  0.04
Pb1 0.0000 0.5000 0.0000  -0.01
Re1 0.5000 0.5000 0.5000  -0.08

---

A plane-wave DFT calculation with PBE was carried out for a geometry-optimized CaRePb2W structure.

energy of formation = 1004 meV/atom
space group = P4/mmm (123)
magnetization = 1.85 μB per formula unit
Fermi-level density of states = 4.043 states/eV/cell

Cell: 5.3482 4.9680 5.3482 Å, 90.00 90.00 90.00°
Last column: magnetic moment on the atom in μB.
Fractional coordinates of all 5 atoms:
Ca1 0.5000 0.5000 0.5000  0.00
Pb1 0.5000 0.0000 0.0000  0.00
Pb2 0.0000 0.0000 0.5000  -0.03
Re1 0.0000 0.0000 0.0000  -0.16
W1 0.0000 0.5000 0.0000  1.55

---

A plane-wave DFT calculation with PBE was carried out for a geometry-optimized Ca2ZnRePb structure.

energy of formation = 1087 meV/atom
space group = P4/mmm (123)
magnetization = 3.54 μB per formula unit
Fermi-level density of states = 3.904 states/eV/cell

Cell: 5.5427 4.9966 5.5427 Å, 90.00 90.00 90.00°
Last column: magnetic moment on the atom in μB.
Fractional coordinates of all 5 atoms:
Ca1 0.0000 0.0000 0.5000  -0.02
Ca2 0.5000 0.0000 0.0000  -0.01
Zn1 0.0000 0.0000 0.0000  0.01
Pb1 0.0000 0.5000 0.0000  -0.03
Re1 0.5000 0.5000 0.5000  3.05

---

A plane-wave DFT calculation with PBE was carried out for a geometry-optimized Ca3RhPb structure.

energy of formation = -294 meV/atom
space group = Pm-3m (221)
magnetization = 0.00 μB per formula unit
Fermi-level density of states = 6.459 states/eV/cell
offset from the most stable computed form = 0.137 eV per atom

Cell: 5.4300 5.4300 5.4300 Å, 90.00 90.00 90.00°
Fractional coordinates of all 5 atoms:
Pb1 0.5000 0.5000 0.5000
Rh1 0.0000 0.0000 0.0000
Ca1 0.5000 0.0000 0.0000
Ca2 0.0000 0.0000 0.5000
Ca3 0.0000 0.5000 0.0000

---

A plane-wave DFT calculation with PBE was carried out for a geometry-optimized CaRh2Pb2 structure.

energy of formation = -229 meV/atom
space group = P-1 (2)
magnetization = 0.00 μB per formula unit
Fermi-level density of states = 6.591 states/eV/cell
offset from the most stable computed form = 0.004 eV per atom

Cell: 5.9109 6.4626 7.8685 Å, 80.05 67.88 62.62°
Fractional coordinates of all 10 atoms:
Ca1 0.8749 0.7505 0.2498
Ca2 0.1251 0.2495 0.7502
Pb1 0.1824 0.1362 0.2499
Pb2 0.8175 0.8638 0.7501
Pb3 0.4324 0.6359 0.7499
Pb4 0.5676 0.3641 0.2501
Rh1 0.4770 0.7501 0.0440
Rh2 0.5230 0.2499 0.9560
Rh3 0.7276 0.2496 0.5439
Rh4 0.2724 0.7504 0.4561

---

A plane-wave DFT calculation with PBE was carried out for a geometry-optimized Ca2RhPb2 structure.

energy of formation = -364 meV/atom
space group = P4/mbm (127)
magnetization = 0.00 μB per formula unit
Fermi-level density of states = 4.402 states/eV/cell

Cell: 7.3711 7.3711 4.8852 Å, 90.00 90.00 90.00°
Fractional coordinates of all 10 atoms:
Ca1 0.6694 0.8306 0.5000
Ca2 0.8306 0.3306 0.5000
Ca3 0.1694 0.6694 0.5000
Ca4 0.3306 0.1694 0.5000
Rh1 0.0000 0.0000 0.0000
Rh2 0.5000 0.5000 0.0000
Pb1 0.3534 0.8534 0.0000
Pb2 0.1466 0.3534 0.0000
Pb3 0.8534 0.6466 0.0000
Pb4 0.6466 0.1466 0.0000

---

A plane-wave DFT calculation with PBE was carried out for a geometry-optimized CaRh2Pb3 structure.

energy of formation = -204 meV/atom
space group = C2/m (12)
magnetization = 0.00 μB per formula unit
Fermi-level density of states = 8.658 states/eV/cell

Cell: 4.5192 9.2707 10.7498 Å, 107.17 90.00 104.11°
Fractional coordinates of all 18 atoms:
Ca1 0.0000 0.0000 0.0000
Ca2 0.8603 0.7206 0.3640
Ca3 0.1397 0.2794 0.6360
Pb1 0.9660 0.9320 0.6957
Pb2 0.6280 0.2561 0.1100
Pb3 0.2937 0.5874 0.1320
Pb4 0.7682 0.5365 0.6152
Pb5 0.2318 0.4635 0.3848
Pb6 0.3720 0.7439 0.8900
Pb7 0.5000 0.0000 0.5000
Pb8 0.7063 0.4126 0.8680
Pb9 0.0340 0.0680 0.3043
Rh1 0.8534 0.7068 0.0478
Rh2 0.3652 0.7304 0.6256
Rh3 0.4600 0.9201 0.1779
Rh4 0.5400 0.0799 0.8221
Rh5 0.6348 0.2696 0.3744
Rh6 0.1466 0.2932 0.9522

---

A plane-wave DFT calculation with PBE was carried out for a geometry-optimized Ca3Rh2Pb3 structure.

energy of formation = -470 meV/atom
space group = Cmcm (63)
magnetization = 0.00 μB per formula unit
Fermi-level density of states = 7.890 states/eV/cell

Cell: 4.6987 6.0254 15.8034 Å, 90.00 90.00 112.95°
Fractional coordinates of all 16 atoms:
Pb1 0.6405 0.2810 0.0379
Pb2 0.6384 0.2768 0.7500
Pb3 0.6405 0.2810 0.4621
Pb4 0.3595 0.7190 0.9621
Pb5 0.3595 0.7190 0.5379
Pb6 0.3616 0.7232 0.2500
Ca1 0.9348 0.8696 0.1116
Ca2 0.0652 0.1304 0.6116
Ca3 0.0652 0.1304 0.8884
Ca4 0.9348 0.8696 0.3884
Ca5 0.6543 0.3087 0.2500
Ca6 0.3457 0.6913 0.7500
Rh1 0.2141 0.4281 0.3903
Rh2 0.7859 0.5719 0.8903
Rh3 0.7859 0.5719 0.6097
Rh4 0.2141 0.4281 0.1097

---

A plane-wave DFT calculation with PBE was carried out for a geometry-optimized Ca3Rh4Pb4 structure.

energy of formation = -335 meV/atom
space group = Immm (71)
magnetization = 0.00 μB per formula unit
Fermi-level density of states = 6.683 states/eV/cell

Cell: 4.4344 8.0461 8.5866 Å, 117.94 104.96 90.00°
Fractional coordinates of all 11 atoms:
Rh1 0.5000 0.8400 0.0000
Rh2 0.7810 0.2810 0.5621
Rh3 0.5000 0.1600 0.0000
Rh4 0.2190 0.7190 0.4379
Pb1 0.6672 0.4669 0.3345
Pb2 0.6672 0.8676 0.3345
Pb3 0.3328 0.5331 0.6655
Pb4 0.3328 0.1324 0.6655
Ca1 0.1190 0.1190 0.2381
Ca2 0.8810 0.8810 0.7619
Ca3 0.0000 0.5000 0.0000

---

A plane-wave DFT calculation with PBE was carried out for a geometry-optimized CaRh4Pb structure.

energy of formation = -187 meV/atom
space group = F-43m (216)
magnetization = 0.00 μB per formula unit
Fermi-level density of states = 10.238 states/eV/cell

Cell: 5.3387 5.3387 5.3387 Å, 60.00 60.00 60.00°
Fractional coordinates of all 6 atoms:
Ca1 0.2500 0.2500 0.2500
Rh1 0.6254 0.1239 0.6254
Rh2 0.6254 0.6254 0.1239
Rh3 0.6254 0.6254 0.6254
Rh4 0.1239 0.6254 0.6254
Pb1 0.0000 0.0000 0.0000

---

A plane-wave DFT calculation with PBE was carried out for a geometry-optimized Ca4RhPb structure.

energy of formation = 424 meV/atom
space group = F-43m (216)
magnetization = 0.43 μB per formula unit
Fermi-level density of states = 5.325 states/eV/cell
offset from the most stable computed form = 0.871 eV per atom

Cell: 6.2640 6.2640 6.2640 Å, 60.00 60.00 60.00°
Last column: magnetic moment on the atom in μB.
Fractional coordinates of all 6 atoms:
Ca1 0.3741 0.3741 0.3741  0.03
Ca2 0.8777 0.3741 0.3741  0.03
Ca3 0.3741 0.3741 0.8777  0.03
Ca4 0.3741 0.8777 0.3741  0.03
Pb1 0.7500 0.7500 0.7500  0.02
Rh1 0.0000 0.0000 0.0000  0.14

---

A plane-wave DFT calculation with PBE was carried out for a geometry-optimized Ca3Rh2Pb3 structure.

energy of formation = -443 meV/atom
space group = Pnma (62)
magnetization = 0.00 μB per formula unit
Fermi-level density of states = 18.692 states/eV/cell

Cell: 6.0159 8.4389 16.3657 Å, 90.00 90.00 90.00°
Fractional coordinates of all 32 atoms:
Ca1 0.3969 0.9610 0.1101
Ca2 0.3612 0.6819 0.7500
Ca3 0.1031 0.4610 0.3899
Ca4 0.6388 0.3181 0.2500
Ca5 0.1388 0.1819 0.7500
Ca6 0.6031 0.0390 0.8899
Ca7 0.8969 0.5390 0.8899
Ca8 0.1031 0.4610 0.1101
Ca9 0.8612 0.8181 0.2500
Ca10 0.3969 0.9610 0.3899
Ca11 0.6031 0.0390 0.6101
Ca12 0.8969 0.5390 0.6101
Pb1 0.1336 0.1583 0.2500
Pb2 0.9006 0.8163 0.0405
Pb3 0.3664 0.6583 0.2500
Pb4 0.8664 0.8417 0.7500
Pb5 0.9006 0.8163 0.4595
Pb6 0.0994 0.1837 0.9595
Pb7 0.6336 0.3417 0.7500
Pb8 0.0994 0.1837 0.5405
Pb9 0.4006 0.6837 0.9595
Pb10 0.4006 0.6837 0.5405
Pb11 0.5994 0.3163 0.0405
Pb12 0.5994 0.3163 0.4595
Rh1 0.1114 0.8928 0.6100
Rh2 0.3886 0.3928 0.8900
Rh3 0.8886 0.1072 0.1100
Rh4 0.1114 0.8928 0.8900
Rh5 0.6114 0.6072 0.1100
Rh6 0.3886 0.3928 0.6100
Rh7 0.8886 0.1072 0.3900
Rh8 0.6114 0.6072 0.3900

---

A plane-wave DFT calculation with PBE was carried out for a geometry-optimized CaRh2Pb2 structure.

energy of formation = -125 meV/atom
space group = P4/mbm (127)
magnetization = 0.00 μB per formula unit
Fermi-level density of states = 7.547 states/eV/cell
offset from the most stable computed form = 0.107 eV per atom

Cell: 8.1661 8.1661 3.2136 Å, 90.00 90.00 90.00°
Fractional coordinates of all 10 atoms:
Ca1 0.0000 0.0000 0.0000
Ca2 0.5000 0.5000 0.0000
Rh1 0.8453 0.3453 0.5000
Rh2 0.1547 0.6547 0.5000
Rh3 0.3453 0.1547 0.5000
Rh4 0.6547 0.8453 0.5000
Pb1 0.3582 0.8582 0.0000
Pb2 0.1418 0.3582 0.0000
Pb3 0.6418 0.1418 0.0000
Pb4 0.8582 0.6418 0.0000

---

A plane-wave DFT calculation with PBE was carried out for a geometry-optimized CaRh2Pb2 structure.

energy of formation = -201 meV/atom
space group = P4/mbm (127)
magnetization = 0.00 μB per formula unit
Fermi-level density of states = 8.306 states/eV/cell
offset from the most stable computed form = 0.031 eV per atom

Cell: 7.7056 7.7056 3.6079 Å, 90.00 90.00 90.00°
Fractional coordinates of all 10 atoms:
Rh1 0.6352 0.1352 0.0000
Rh2 0.1352 0.3648 0.0000
Rh3 0.8648 0.6352 0.0000
Rh4 0.3648 0.8648 0.0000
Pb1 0.6580 0.8420 0.5000
Pb2 0.8420 0.3420 0.5000
Pb3 0.1580 0.6580 0.5000
Pb4 0.3420 0.1580 0.5000
Ca1 0.0000 0.0000 0.0000
Ca2 0.5000 0.5000 0.0000

---

A plane-wave DFT calculation with PBE was carried out for a geometry-optimized CaRhPb3 structure.

energy of formation = 1199 meV/atom
space group = Pm-3m (221)
magnetization = 0.78 μB per formula unit
Fermi-level density of states = 6.657 states/eV/cell

Cell: 5.6810 5.6810 5.6810 Å, 90.00 90.00 90.00°
Last column: magnetic moment on the atom in μB.
Fractional coordinates of all 5 atoms:
Rh1 0.5000 0.5000 0.5000  0.85
Pb1 0.0000 0.5000 0.0000  -0.01
Pb2 0.5000 0.0000 0.0000  -0.02
Pb3 0.0000 0.0000 0.5000  0.00
Ca1 0.0000 0.0000 0.0000  -0.01

---

A plane-wave DFT calculation with PBE was carried out for a geometry-optimized Ca4RhPb structure.

energy of formation = -447 meV/atom
space group = C2/c (15)
magnetization = 0.00 μB per formula unit
Fermi-level density of states = 7.287 states/eV/cell
offset from the most stable computed form = 0.000 eV per atom

Cell: 6.2376 8.7770 8.3961 Å, 114.78 103.04 106.20°
Fractional coordinates of all 12 atoms:
Ca1 0.6197 0.0534 0.3327
Ca2 0.0478 0.2163 0.8672
Ca3 0.3194 0.6509 0.8672
Ca4 0.7869 0.7207 0.6673
Ca5 0.2131 0.2793 0.3327
Ca6 0.3803 0.9466 0.6673
Ca7 0.6806 0.3491 0.1328
Ca8 0.9522 0.7837 0.1328
Pb1 0.3847 0.6347 0.2694
Pb2 0.6153 0.3653 0.7306
Rh1 0.2480 0.9980 0.9961
Rh2 0.7520 0.0020 0.0039

---

A plane-wave DFT calculation with PBE was carried out for a geometry-optimized Ca2Rh4Pb3 structure.

energy of formation = -321 meV/atom
space group = Cmce (64)
magnetization = 0.00 μB per formula unit
Fermi-level density of states = 9.192 states/eV/cell

Cell: 6.2524 7.3494 8.9480 Å, 90.00 110.45 90.00°
Fractional coordinates of all 18 atoms:
Pb1 0.4863 0.2500 0.4726
Pb2 0.0000 0.0000 0.0000
Pb3 0.9863 0.2500 0.4726
Pb4 0.5137 0.7500 0.5274
Pb5 0.0137 0.7500 0.5274
Pb6 0.5000 0.5000 0.0000
Rh1 0.6763 0.7500 0.8525
Rh2 0.8343 0.0278 0.6687
Rh3 0.6657 0.5278 0.3313
Rh4 0.1657 0.9722 0.3313
Rh5 0.3343 0.4722 0.6687
Rh6 0.1763 0.7500 0.8525
Rh7 0.3237 0.2500 0.1475
Rh8 0.8237 0.2500 0.1475
Ca1 0.0984 0.5833 0.1969
Ca2 0.5984 0.9167 0.1969
Ca3 0.9016 0.4167 0.8031
Ca4 0.4016 0.0833 0.8031

---

A plane-wave DFT calculation with PBE was carried out for a geometry-optimized Ca3RhPb structure.

energy of formation = -430 meV/atom
space group = Fmmm (69)
magnetization = 0.00 μB per formula unit
Fermi-level density of states = 4.723 states/eV/cell
offset from the most stable computed form = 0.000 eV per atom

Cell: 5.9992 5.9992 8.9263 Å, 102.48 102.47 110.93°
Fractional coordinates of all 10 atoms:
Rh1 0.2501 0.2501 0.0000
Rh2 0.7499 0.7499 0.0000
Pb1 0.2815 0.7815 0.5000
Pb2 0.7185 0.2185 0.5000
Ca1 0.9136 0.8077 0.7213
Ca2 0.2983 0.7983 0.0966
Ca3 0.0864 0.1923 0.2787
Ca4 0.7017 0.2017 0.9034
Ca5 0.6923 0.5865 0.2788
Ca6 0.3077 0.4135 0.7212